Compound: La7PmSc4
Source: Alexandria via LeMat-Bulk
Functional: PBE
Structure: optimized geometry

Cell lengths 6.5634, 6.6251, 9.2602 Å; angles 91.77, 103.69, 94.99 degrees
Fractional positions:
La 0.0000 0.0000 0.0000
La 0.1936 0.3607 0.5954
La 0.2974 0.8344 0.3719
La 0.4844 0.2389 0.9359
La 0.5156 0.7611 0.0641
La 0.7026 0.1656 0.6281
La 0.8064 0.6393 0.4046
Pm 0.0000 0.5000 0.0000
Sc 0.1610 0.8452 0.7124
Sc 0.3668 0.3253 0.2759
Sc 0.6332 0.6747 0.7241
Sc 0.8390 0.1548 0.2876

- Space group: P-1
- DOS(E_F): 18.7 states/eV/cell
- ΔH_f (0 K): 0.12 eV per atom

Compound: LaPm4Sc2
Source: Alexandria via LeMat-Bulk
Functional: PBE
Structure: optimized geometry

Cell lengths 8.7077, 6.4702, 8.9568 Å; angles 90.00, 116.82, 90.00 degrees
Fractional positions:
La 0.2472 0.2500 0.2569
La 0.7528 0.7500 0.7431
Pm 0.0095 0.7500 0.5672
Pm 0.0513 0.2500 0.8248
Pm 0.4038 0.0083 0.7727
Pm 0.4038 0.4917 0.7727
Pm 0.5962 0.5083 0.2273
Pm 0.5962 0.9917 0.2273
Pm 0.9487 0.7500 0.1752
Pm 0.9905 0.2500 0.4328
Sc 0.2050 0.7500 0.0022
Sc 0.3680 0.7500 0.4225
Sc 0.6320 0.2500 0.5775
Sc 0.7950 0.2500 0.9978

- Space group: P2_1/m
- DOS(E_F): 25.9 states/eV/cell
- ΔH_f (0 K): 0.17 eV per atom
- Excess energy over the best structure of this formula in the dataset: 0.000 eV per atom

Compound: LaPm2Sc
Source: Alexandria via LeMat-Bulk
Functional: PBE
Structure: optimized geometry

Cell lengths 5.0309, 5.0309, 5.0894 Å; angles 90.00, 90.00, 90.00 degrees
Fractional positions:
La 0.0000 0.0000 0.0000
Pm 0.0000 0.5000 0.5000
Pm 0.5000 0.0000 0.5000
Sc 0.5000 0.5000 0.0000

- Space group: P4/mmm
- DOS(E_F): 5.6 states/eV/cell
- ΔH_f (0 K): 0.04 eV per atom
- Excess energy over the best structure of this formula in the dataset: 0.000 eV per atom

Compound: La4PmSc
Source: Alexandria via LeMat-Bulk
Functional: PBE
Structure: optimized geometry

Cell lengths 8.0737, 8.0737, 5.1693 Å; angles 90.00, 90.00, 142.53 degrees
Fractional positions:
La 0.1626 0.8374 0.0000
La 0.3352 0.6648 0.5000
La 0.6648 0.3352 0.5000
La 0.8374 0.1626 0.0000
Pm 0.5000 0.5000 0.0000
Sc 0.0000 0.0000 0.5000

- Space group: Cmmm
- DOS(E_F): 11.5 states/eV/cell
- ΔH_f (0 K): 0.04 eV per atom
- Excess energy over the best structure of this formula in the dataset: 0.000 eV per atom